[1]
# La3SnC

Crystalline La3SnC at its relaxed geometry (PBE, Alexandria).

Structure (CIF):
```
data_La3SnC
_chemical_formula_sum 'La12 Sn4 C4'
_cell_length_a 27.0635
_cell_length_b 6.6857
_cell_length_c 10.4138
_cell_angle_alpha 90.00
_cell_angle_beta 162.29
_cell_angle_gamma 90.00
_symmetry_space_group_name_H-M 'P 1'
_symmetry_Int_Tables_number 1
_symmetry_space_group_name_Hall 'P 1'
loop_
_atom_site_label
_atom_site_type_symbol
_atom_site_fract_x
_atom_site_fract_y
_atom_site_fract_z
C1 C 0.5136 0.7562 0.6215
C2 C 0.4864 0.2438 0.3785
C3 C 0.9864 0.2562 0.8785
C4 C 0.0136 0.7438 0.1215
Sn1 Sn 0.0113 0.1639 0.4194
Sn2 Sn 0.9887 0.8361 0.5806
Sn3 Sn 0.4887 0.6639 0.0806
Sn4 Sn 0.5113 0.3361 0.9194
La1 La 0.2961 0.9206 0.9407
La2 La 0.7039 0.0794 0.0593
La3 La 0.2039 0.4206 0.5593
La4 La 0.7961 0.5794 0.4407
La5 La 0.3528 0.4180 0.2443
La6 La 0.6472 0.5820 0.7557
La7 La 0.1472 0.9180 0.2557
La8 La 0.8528 0.0820 0.7443
La9 La 0.3984 0.8567 0.5549
La10 La 0.6016 0.1433 0.4451
La11 La 0.1016 0.3567 0.9451
La12 La 0.8984 0.6433 0.0549
```

Output
density of states at the Fermi level = 25.96 states/eV per cell
formation enthalpy at 0 K = -0.336 eV/atom
magnetization = 0.000 μB/atom
final energy = -118.76 eV per cell

---

[2]
# CsBaCa

Crystalline CsBaCa at its relaxed geometry (PBE, Alexandria).

Structure (CIF):
```
data_CsBaCa
_chemical_formula_sum 'Cs1 Ba1 Ca1'
_cell_length_a 4.4173
_cell_length_b 4.4173
_cell_length_c 11.4158
_cell_angle_alpha 90.00
_cell_angle_beta 90.00
_cell_angle_gamma 120.00
_symmetry_space_group_name_H-M 'P 1'
_symmetry_Int_Tables_number 1
_symmetry_space_group_name_Hall 'P 1'
loop_
_atom_site_label
_atom_site_type_symbol
_atom_site_fract_x
_atom_site_fract_y
_atom_site_fract_z
Cs1 Cs 0.0000 0.0000 0.0108
Ca1 Ca 0.6667 0.3333 0.3504
Ba1 Ba 0.3333 0.6667 0.6388
```

Output
density of states at the Fermi level = 4.49 states/eV per cell
E above lowest polymorph = 0.091 eV per atom
formation enthalpy at 0 K = 0.171 eV/atom
magnetization = 0.000 μB/atom
final energy = -4.27 eV per cell

---

[3]
# Np2TiNbN4

Crystalline Np2TiNbN4 at its relaxed geometry (PBE, Alexandria).

Structure (CIF):
```
data_Np2TiNbN4
_chemical_formula_sum 'Np2 Ti1 Nb1 N4'
_cell_length_a 3.2283
_cell_length_b 5.6058
_cell_length_c 5.6793
_cell_angle_alpha 109.01
_cell_angle_beta 90.00
_cell_angle_gamma 90.00
_symmetry_space_group_name_H-M 'P 1'
_symmetry_Int_Tables_number 1
_symmetry_space_group_name_Hall 'P 1'
loop_
_atom_site_label
_atom_site_type_symbol
_atom_site_fract_x
_atom_site_fract_y
_atom_site_fract_z
Np1 Np 0.5000 0.0000 0.5000
Np2 Np 0.0000 0.5000 0.5000
Ti1 Ti 0.0000 0.0000 0.0000
Nb1 Nb 0.5000 0.5000 0.0000
N1 N 0.5000 0.2337 0.2218
N2 N 0.5000 0.7663 0.7782
N3 N 0.0000 0.2513 0.7755
N4 N 0.0000 0.7487 0.2245
```

Output
density of states at the Fermi level = 10.89 states/eV per cell
magnetization = 0.730 μB/atom
final energy = -87.18 eV per cell
ΔE_f (raw) = -1.25 eV per atom